[1]
A plane-wave DFT calculation with PBE was carried out for a relaxed Co2Ir3Rh3 crystal.

Values from the calculation:
- E_form: 0.024 eV per atom
- E_tot: -7.83 eV per atom
- Size of the total moment: 3.42 μB/f.u.
- Crystal system: orthorhombic

Structure (CIF):
```
data_Co2Ir3Rh3
_chemical_formula_sum 'Co4 Ir6 Rh6'
_cell_length_a 3.823
_cell_length_b 3.830
_cell_length_c 14.801
_cell_angle_alpha 90.00
_cell_angle_beta 90.00
_cell_angle_gamma 90.00
_space_group_name_H-M_alt 'I m m m'
_space_group_IT_number 71
_space_group_name_Hall '-I 2 2'
loop_
_atom_site_label
_atom_site_type_symbol
_atom_site_fract_x
_atom_site_fract_y
_atom_site_fract_z
Co1 Co 0.000 0.000 0.249
Ir1 Ir 0.000 0.000 0.500
Ir2 Ir 0.000 0.500 0.131
Rh1 Rh 0.000 0.000 0.000
Rh2 Rh 0.000 0.500 0.370
```

***

[2]
A plane-wave DFT calculation with PBE was carried out for a relaxed CuOs2Pt crystal.

Values from the calculation:
- E_form: 0.383 eV per atom
- E_tot: -7.77 eV per atom
- Size of the total moment: 0.55 μB/f.u.
- Crystal system: orthorhombic

Structure (CIF):
```
data_CuOs2Pt
_chemical_formula_sum 'Cu2 Os4 Pt2'
_cell_length_a 2.739
_cell_length_b 4.643
_cell_length_c 9.224
_cell_angle_alpha 90.00
_cell_angle_beta 90.00
_cell_angle_gamma 90.00
_space_group_name_H-M_alt 'C m m 2'
_space_group_IT_number 35
loop_
_space_group_symop_operation_xyz
'x,y,z'
'-x,-y,z'
'-x,y,z'
'x,-y,z'
'x+1/2,y+1/2,z'
'-x+1/2,-y+1/2,z'
'-x+1/2,y+1/2,z'
'x+1/2,-y+1/2,z'
loop_
_atom_site_label
_atom_site_type_symbol
_atom_site_fract_x
_atom_site_fract_y
_atom_site_fract_z
Cu1 Cu 0.000 0.000 0.000
Os1 Os 0.000 0.000 0.489
Os2 Os 0.000 0.500 0.246
Pt1 Pt 0.000 0.500 0.757
```

***

[3]
A plane-wave DFT calculation with PBE was carried out for a relaxed Er12ZrIn3 crystal.

Values from the calculation:
- E_form: -0.186 eV per atom
- E_tot: -4.66 eV per atom
- Size of the total moment: 0.00 μB/f.u.
- Crystal system: tetragonal

Structure (CIF):
```
data_Er12ZrIn3
_chemical_formula_sum 'Er12 Zr1 In3'
_cell_length_a 4.799
_cell_length_b 4.799
_cell_length_c 19.426
_cell_angle_alpha 90.00
_cell_angle_beta 90.00
_cell_angle_gamma 90.00
_space_group_name_H-M_alt 'P 4/m m m'
_space_group_IT_number 123
_space_group_name_Hall '-P 4 2'
loop_
_atom_site_label
_atom_site_type_symbol
_atom_site_fract_x
_atom_site_fract_y
_atom_site_fract_z
Er1 Er 0.000 0.000 0.000
Er2 Er 0.000 0.000 0.248
Er3 Er 0.000 0.000 0.500
Er4 Er 0.000 0.500 0.124
Er5 Er 0.000 0.500 0.376
Zr1 Zr 0.500 0.500 0.500
In1 In 0.500 0.500 0.000
In2 In 0.500 0.500 0.247
```

***

[4]
A plane-wave DFT calculation with PBE was carried out for a relaxed RbNa2AgCl4 crystal.

Values from the calculation:
- Raw formation energy: -1.477 eV per atom
- E_tot: -3.21 eV per atom
- Size of the total moment: 0.00 μB/f.u.
- Crystal system: orthorhombic

Structure (CIF):
```
data_RbNa2AgCl4
_chemical_formula_sum 'Rb4 Na8 Ag4 Cl16'
_cell_length_a 4.223
_cell_length_b 14.357
_cell_length_c 14.543
_cell_angle_alpha 90.00
_cell_angle_beta 90.00
_cell_angle_gamma 90.00
_space_group_name_H-M_alt 'C m c m'
_space_group_IT_number 63
_space_group_name_Hall '-C 2c 2'
loop_
_atom_site_label
_atom_site_type_symbol
_atom_site_fract_x
_atom_site_fract_y
_atom_site_fract_z
Rb1 Rb 0.000 0.129 0.250
Na1 Na 0.000 0.375 0.046
Ag1 Ag 0.000 0.146 0.750
Cl1 Cl 0.000 0.000 0.000
Cl2 Cl 0.000 0.255 0.609
Cl3 Cl 0.000 0.455 0.250
```